MnBe2Zn | PBEsol | relaxed

Cell and atoms, written as POSCAR:
```
MnBe2Zn
1.0
-1.642 0.212 1.697
2.076 -0.387 1.077
1.239 7.399 0.273
Be Zn Mn
2 1 1
direct
0.000 0.000 0.730
0.000 0.000 0.270
0.500 0.500 0.000
0.500 0.500 0.500
```

Values from the calculation:
E_form = 0.11 eV per atom
VASP energy = -4.728 eV/atom